Sr10P6O25 | SCAN | PBEsol geometry

Lattice parameters (Å, degrees): 7.2375 9.7122 9.7122 120.00 90.00 90.00
Closest atoms and distances in Å follow each position.
Atoms (fractional coordinates):
O 0.0720 0.5716 0.9621  1 P 1.55
O 0.2752 0.1945 0.4503  1 P 1.55
O 0.2752 0.2557 0.8055  1 P 1.55
O 0.1528 0.6667 0.3333  3 Sr 2.33
O 0.2419 0.1834 0.1817  1 P 1.55
O 0.9297 0.3049 0.0699  1 P 1.55
O 0.2419 0.8183 0.0016  1 P 1.55
O 0.7150 0.7848 0.9054  1 P 1.56
O 0.4185 0.4078 0.4082  1 P 1.55
O 0.4185 0.5918 0.9995  1 P 1.55
O 0.9297 0.7650 0.6951  1 P 1.55
O 0.5949 0.9028 0.2701  1 P 1.55
O 0.9297 0.9301 0.2350  1 P 1.55
O 0.7613 0.3402 0.8549  1 P 1.55
O 0.5949 0.7299 0.6327  1 P 1.55
O 0.4185 0.0005 0.5922  1 P 1.55
O 0.5949 0.3673 0.0972  1 P 1.55
O 0.0720 0.0379 0.6095  1 P 1.55
O 0.7613 0.1451 0.4854  1 P 1.55
O 0.2752 0.5497 0.7443  1 P 1.55
O 0.7150 0.0946 0.8794  1 P 1.56
O 0.7613 0.5147 0.6598  1 P 1.55
O 0.0720 0.3905 0.4284  1 P 1.55
O 0.2419 0.9984 0.8166  1 P 1.55
O 0.7150 0.1206 0.2152  1 P 1.56
P 0.2527 0.2921 0.3646  4 O 1.55
P 0.7495 0.6960 0.7224  4 O 1.55-1.56
P 0.7495 0.0265 0.3040  4 O 1.55-1.56
P 0.2527 0.6354 0.9275  4 O 1.55
P 0.2527 0.0725 0.7079  4 O 1.55
P 0.7495 0.2776 0.9735  4 O 1.55-1.56
Sr 0.7553 0.6514 0.0618  6 O 2.46-2.68
Sr 0.7553 0.4105 0.3486  6 O 2.46-2.68
Sr 0.2431 0.4305 0.1086  4 O 2.33-2.61
Sr 0.9875 0.0000 0.0000  9 O 2.56-2.72
Sr 0.2431 0.8914 0.3219  4 O 2.33-2.61
Sr 0.0179 0.3333 0.6667  9 O 2.58-2.67
Sr 0.2431 0.6781 0.5695  4 O 2.33-2.61
Sr 0.7553 0.9382 0.5895  6 O 2.46-2.68
Sr 0.5097 0.3333 0.6667  6 O 2.51-2.56
Sr 0.4789 0.0000 0.0000  6 O 2.47-2.49

Values from the calculation:
ΔE_f (raw), meV/atom: -3191
Symmetry: P3 (143)



PrCd20Pd2 | SCAN | PBEsol geometry

Lattice parameters (Å, degrees): 10.9836 10.9836 10.9836 60.00 60.00 60.00
Closest atoms and distances in Å follow each position.
Atoms (fractional coordinates):
Pr 0.2500 0.2500 0.2500  16 Cd 3.36-3.39
Pr 0.0000 0.0000 0.0000  16 Cd 3.36-3.39
Cd 0.4483 0.9219 0.1815  8 Cd 2.85-3.17, 1 Pd 3.05
Cd 0.8873 0.6127 0.8873  2 Pd 2.75, 10 Cd 2.92-3.08
Cd 0.8017 0.8017 0.0685  8 Cd 2.85-3.17, 1 Pd 3.05
Cd 0.8017 0.8017 0.3281  8 Cd 2.85-3.17, 1 Pd 3.05
Cd 0.1250 0.1250 0.6250  12 Cd 3.30, 2 Pr 3.36
Cd 0.9219 0.4483 0.1815  8 Cd 2.85-3.17, 1 Pd 3.05
Cd 0.4483 0.4483 0.1815  8 Cd 2.85-3.17, 1 Pd 3.05
Cd 0.1250 0.6250 0.1250  12 Cd 3.30, 2 Pr 3.36
Cd 0.3627 0.6373 0.6373  2 Pd 2.75, 10 Cd 2.92-3.08
Cd 0.6250 0.1250 0.1250  12 Cd 3.30, 2 Pr 3.36
Cd 0.8873 0.8873 0.6127  2 Pd 2.75, 10 Cd 2.92-3.08
Cd 0.8873 0.6127 0.6127  2 Pd 2.75, 10 Cd 2.92-3.08
Cd 0.3281 0.0685 0.8017  8 Cd 2.85-3.17, 1 Pd 3.05
Cd 0.1815 0.9219 0.4483  8 Cd 2.85-3.17, 1 Pd 3.05
Cd 0.0685 0.8017 0.8017  8 Cd 2.85-3.17, 1 Pd 3.05
Cd 0.3281 0.8017 0.8017  8 Cd 2.85-3.17, 1 Pd 3.05
Cd 0.0685 0.8017 0.3281  8 Cd 2.85-3.17, 1 Pd 3.05
Cd 0.0685 0.3281 0.8017  8 Cd 2.85-3.17, 1 Pd 3.05
Cd 0.4483 0.4483 0.9219  8 Cd 2.85-3.17, 1 Pd 3.05
Cd 0.6127 0.6127 0.8873  2 Pd 2.75, 10 Cd 2.92-3.08
Cd 0.8017 0.3281 0.0685  8 Cd 2.85-3.17, 1 Pd 3.05
Cd 0.3627 0.3627 0.6373  2 Pd 2.75, 10 Cd 2.92-3.08
Cd 0.9219 0.4483 0.4483  8 Cd 2.85-3.17, 1 Pd 3.05
Cd 0.1815 0.4483 0.9219  8 Cd 2.85-3.17, 1 Pd 3.05
Cd 0.6373 0.3627 0.3627  2 Pd 2.75, 10 Cd 2.92-3.08
Cd 0.6127 0.8873 0.6127  2 Pd 2.75, 10 Cd 2.92-3.08
Cd 0.4483 0.9219 0.4483  8 Cd 2.85-3.17, 1 Pd 3.05
Cd 0.8017 0.0685 0.8017  8 Cd 2.85-3.17, 1 Pd 3.05
Cd 0.8017 0.3281 0.8017  8 Cd 2.85-3.17, 1 Pd 3.05
Cd 0.1815 0.4483 0.4483  8 Cd 2.85-3.17, 1 Pd 3.05
Cd 0.4483 0.1815 0.4483  8 Cd 2.85-3.17, 1 Pd 3.05
Cd 0.8017 0.0685 0.3281  8 Cd 2.85-3.17, 1 Pd 3.05
Cd 0.1250 0.1250 0.1250  12 Cd 3.30, 2 Pr 3.36
Cd 0.9219 0.1815 0.4483  8 Cd 2.85-3.17, 1 Pd 3.05
Cd 0.3281 0.8017 0.0685  8 Cd 2.85-3.17, 1 Pd 3.05
Cd 0.6373 0.6373 0.3627  2 Pd 2.75, 10 Cd 2.92-3.08
Cd 0.3627 0.6373 0.3627  2 Pd 2.75, 10 Cd 2.92-3.08
Cd 0.6127 0.8873 0.8873  2 Pd 2.75, 10 Cd 2.92-3.08
Cd 0.6373 0.3627 0.6373  2 Pd 2.75, 10 Cd 2.92-3.08
Cd 0.4483 0.1815 0.9219  8 Cd 2.85-3.17, 1 Pd 3.05
Pd 0.6250 0.6250 0.6250  12 Cd 2.75-3.05
Pd 0.1250 0.6250 0.6250  12 Cd 2.75-3.05
Pd 0.6250 0.6250 0.1250  12 Cd 2.75-3.05
Pd 0.6250 0.1250 0.6250  12 Cd 2.75-3.05

Values from the calculation:
Formation enthalpy at 0 K, eV per atom: -0.218
Symmetry: Fd-3m (227)



Li24Ti11CrO36 | SCAN | PBEsol geometry

Lattice parameters (Å, degrees): 5.0362 10.4930 12.9857 112.04 97.17 94.91
Closest atoms and distances in Å follow each position.
Atoms (fractional coordinates):
O 0.7856 0.2914 0.4270  2 Ti 1.95-1.96, 4 Li 2.06-2.18
O 0.4294 0.1390 0.5033  2 Ti 1.95-1.96, 4 Li 2.07-2.18
O 0.3109 0.4075 0.0424  1 Cr 1.93, 1 Ti 1.96, 4 Li 2.03-2.14
O 0.6439 0.0791 0.7124  2 Ti 1.97-1.98, 4 Li 2.02-2.12
O 0.8852 0.0454 0.9080  1 Cr 1.92, 1 Ti 1.96, 2 Li 2.05-2.07
O 0.3115 0.4110 0.5446  2 Ti 1.96-1.97, 4 Li 2.03-2.11
O 0.5708 0.8614 0.4973  2 Ti 1.95-1.96, 4 Li 2.07-2.17
O 0.0200 0.2541 0.1190  1 Cr 1.93, 1 Ti 1.96, 4 Li 2.03-2.14
O 0.6463 0.0778 0.2110  2 Ti 1.96-1.97, 4 Li 2.03-2.11
O 0.4231 0.1422 0.0042  1 Cr 1.92, 1 Ti 1.95, 3 Li 2.07-2.11
O 0.2369 0.1941 0.3298  2 Ti 1.95-1.96, 4 Li 2.07-2.18
O 0.6876 0.5891 0.4551  2 Ti 1.97, 4 Li 2.03-2.11
O 0.0952 0.4708 0.3351  2 Ti 1.96, 4 Li 2.06-2.17
O 0.7938 0.2916 0.9295  1 Cr 1.92, 1 Ti 1.95, 3 Li 2.07-2.11
O 0.9780 0.7441 0.8777  2 Ti 1.97, 4 Li 2.02-2.12
O 0.0214 0.2555 0.6222  2 Ti 1.97, 4 Li 2.02-2.12
O 0.5464 0.3749 0.7400  2 Ti 1.94-1.96, 3 Li 2.08-2.15
O 0.6874 0.5889 0.9556  2 Ti 1.97, 4 Li 2.03-2.11
O 0.0955 0.4721 0.8368  2 Ti 1.95-1.96, 4 Li 2.06-2.15
O 0.2152 0.7086 0.0725  2 Ti 1.95, 4 Li 2.07-2.18
O 0.7630 0.8062 0.6706  2 Ti 1.95-1.96, 4 Li 2.07-2.17
O 0.7635 0.8057 0.1699  2 Ti 1.95-1.96, 3 Li 2.06-2.15
O 0.2352 0.1955 0.8329  1 Cr 1.91, 1 Ti 1.96, 2 Li 2.05-2.07
O 0.9038 0.5271 0.1625  2 Ti 1.95-1.96, 4 Li 2.07-2.17
O 0.4519 0.6246 0.7605  2 Ti 1.95-1.96, 4 Li 2.07-2.18
O 0.2142 0.7091 0.5735  2 Ti 1.95-1.96, 4 Li 2.07-2.17
O 0.3573 0.9234 0.7903  2 Ti 1.97-1.98, 4 Li 2.02-2.12
O 0.1198 0.9583 0.0936  2 Ti 1.95-1.96, 4 Li 2.06-2.15
O 0.9789 0.7439 0.3778  2 Ti 1.97, 4 Li 2.03-2.11
O 0.8808 0.0418 0.4062  2 Ti 1.95-1.96, 3 Li 2.07-2.15
O 0.5472 0.3744 0.2388  2 Ti 1.95-1.96, 4 Li 2.07-2.17
O 0.9029 0.5273 0.6633  2 Ti 1.95-1.96, 4 Li 2.07-2.18
O 0.5720 0.8617 0.9966  2 Ti 1.94-1.97, 3 Li 2.08-2.14
O 0.4521 0.6234 0.2588  2 Ti 1.96, 4 Li 2.06-2.17
O 0.3554 0.9224 0.2886  2 Ti 1.96-1.98, 4 Li 2.03-2.11
O 0.1193 0.9586 0.5944  2 Ti 1.95-1.96, 4 Li 2.07-2.17
Ti 0.2216 0.4451 0.6947  6 O 1.95-1.97
Ti 0.7774 0.5544 0.3042  6 O 1.95-1.97
Ti 0.4445 0.8893 0.6395  6 O 1.95-1.97
Ti 0.5550 0.1115 0.3615  6 O 1.95-1.97
Ti 0.8907 0.7779 0.0283  6 O 1.95-1.97
Ti 0.1099 0.2213 0.4713  6 O 1.95-1.97
Ti 0.2216 0.4428 0.1927  6 O 1.96
Ti 0.5570 0.1140 0.8640  6 O 1.95-1.98
Ti 0.4457 0.8888 0.1377  6 O 1.94-1.98
Ti 0.7764 0.5541 0.8050  6 O 1.94-1.97
Ti 0.8891 0.7786 0.5287  6 O 1.95-1.97
Li 0.6646 0.8318 0.8332  6 O 2.02-2.21
Li 0.0009 0.9997 0.2500  6 O 2.08-2.11
Li 0.5554 0.6070 0.1063  6 O 2.06-2.18
Li 0.3332 0.6662 0.4162  6 O 2.09-2.10
Li 0.3345 0.1664 0.1644  6 O 2.03-2.18
Li 0.6676 0.8333 0.3330  6 O 2.03-2.17
Li 0.8846 0.2728 0.2732  6 O 2.06-2.18
Li 0.3344 0.1667 0.6657  6 O 2.02-2.20
Li 0.5522 0.6067 0.6065  6 O 2.07-2.18
Li 0.2172 0.9424 0.9400  6 O 2.06-2.20
Li 0.7807 0.0603 0.5605  6 O 2.07-2.18
Li 0.9978 0.4971 0.9990  6 O 2.03-2.18
Li 0.0009 0.0020 0.7521  6 O 2.07-2.12
Li 0.1155 0.7260 0.2264  6 O 2.07-2.18
Li 0.8901 0.2725 0.7748  6 O 2.06-2.20
Li 0.2208 0.9395 0.4400  6 O 2.07-2.18
Li 0.6664 0.3330 0.0829  6 O 2.07-2.10
Li 0.4375 0.3945 0.8938  6 O 2.05-2.26
Li 0.9987 0.4997 0.4997  6 O 2.03-2.17
Li 0.6663 0.3331 0.5833  6 O 2.08-2.11
Li 0.1121 0.7271 0.7272  6 O 2.07-2.18
Li 0.4451 0.3934 0.3927  6 O 2.07-2.18
Li 0.7900 0.0602 0.0609  6 O 2.05-2.26
Li 0.3328 0.6670 0.9165  6 O 2.08-2.11
Cr 0.1110 0.2221 0.9720  6 O 1.91-1.93

Values from the calculation:
ΔE_f (raw), meV/atom: -2841
Symmetry: P1 (1)



CdNiP4O12 | SCAN | PBEsol geometry

Lattice parameters (Å, degrees): 7.3763 7.3763 9.7342 97.70 112.29 108.82
Closest atoms and distances in Å follow each position.
Atoms (fractional coordinates):
O 0.2436 0.4140 0.9244  1 P 1.48
O 0.9896 0.3192 0.5756  1 P 1.48
O 0.1947 0.3185 0.3490  1 P 1.48
O 0.5305 0.1543 0.8490  1 P 1.48
O 0.6262 0.8186 0.9249  1 P 1.52
O 0.4695 0.8457 0.1510  1 P 1.48
O 0.5296 0.6205 0.3275  1 P 1.52
O 0.6842 0.9878 0.4471  2 P 1.60
O 0.4704 0.3795 0.6725  1 P 1.52
O 0.9593 0.7629 0.9471  2 P 1.60
O 0.7930 0.2021 0.1725  1 P 1.52
O 0.7564 0.5860 0.0756  1 P 1.48
O 0.3158 0.0122 0.5529  2 P 1.60
O 0.8053 0.6815 0.6510  1 P 1.48
O 0.3738 0.1814 0.0751  1 P 1.52
O 0.3937 0.7014 0.5751  1 P 1.52
O 0.9697 0.9616 0.1791  2 P 1.61
O 0.2825 0.7906 0.3209  2 P 1.61
O 0.0104 0.6808 0.4244  1 P 1.48
O 0.6063 0.2986 0.4249  1 P 1.52
O 0.2070 0.7979 0.8275  1 P 1.52
O 0.0407 0.2371 0.0529  2 P 1.60
O 0.0303 0.0384 0.8209  2 P 1.61
O 0.7175 0.2094 0.6791  2 P 1.61
P 0.9937 0.8074 0.8004  4 O 1.48-1.61
P 0.2425 0.7802 0.4717  4 O 1.48-1.61
P 0.5070 0.1933 0.6996  4 O 1.48-1.61
P 0.1915 0.2292 0.9717  4 O 1.48-1.61
P 0.8085 0.7708 0.0283  4 O 1.48-1.61
P 0.0063 0.1926 0.1996  4 O 1.48-1.61
P 0.7575 0.2198 0.5283  4 O 1.48-1.61
P 0.4930 0.8067 0.3004  4 O 1.48-1.61
Cd 0.3008 0.5508 0.7500  6 O 2.19-2.35
Cd 0.6992 0.4492 0.2500  6 O 2.19-2.35
Ni 0.5000 0.5000 0.5000  6 O 2.01-2.06
Ni 0.5000 0.0000 0.0000  6 O 2.01-2.06

Values from the calculation:
ΔE_f (raw), meV/atom: -2218
Symmetry: C2/c (15)



Mg2InSb | SCAN | PBEsol geometry

Lattice parameters (Å, degrees): 3.4259 4.4285 6.2403 90.00 90.00 90.00
Closest atoms and distances in Å follow each position.
Atoms (fractional coordinates):
Sb 0.0000 0.0000 0.4658  6 Mg 3.01-3.23
Mg 0.0000 0.0000 0.9830  2 Sb 3.01-3.23, 4 In 3.07, 4 Mg 3.33
Mg 0.5000 0.5000 0.2711  4 Sb 3.05, 2 In 3.06-3.18, 4 Mg 3.33
In 0.5000 0.5000 0.7800  6 Mg 3.06-3.18, 4 Sb 3.42, 2 In 3.43

Values from the calculation:
ΔE_f (raw), meV/atom: -101
Symmetry: Pmm2 (25)
Excess energy over the best structure of this formula in the dataset, meV/atom: 84



CaAg2Au | SCAN | PBEsol geometry

Lattice parameters (Å, degrees): 4.3224 5.1165 4.3224 65.01 90.00 114.99
Closest atoms and distances in Å follow each position.
Atoms (fractional coordinates):
Au 0.7500 0.5000 0.7500  4 Ca 2.98, 8 Ag 2.98-3.06
Ag 0.2500 0.5000 0.2500  4 Ca 2.98, 4 Ag 2.98, 4 Au 3.06
Ag 0.5000 0.0000 0.5000  4 Ag 2.98, 4 Au 2.98, 4 Ca 3.06
Ca 0.0000 0.0000 0.0000  4 Au 2.98, 8 Ag 2.98-3.06

Values from the calculation:
Formation enthalpy at 0 K, eV per atom: -0.384
Symmetry: I-4m2 (119)



KLi3As | SCAN | PBEsol geometry

Lattice parameters (Å, degrees): 4.9939 4.9939 4.9939 90.00 90.00 90.00
Closest atoms and distances in Å follow each position.
Atoms (fractional coordinates):
Li 0.0000 0.5000 0.0000  2 As 2.50
Li 0.5000 0.0000 0.0000  2 As 2.50
Li 0.0000 0.0000 0.5000  2 As 2.50
K 0.5000 0.5000 0.5000  12 Li 3.53
As 0.0000 0.0000 0.0000  6 Li 2.50

Values from the calculation:
Formation enthalpy at 0 K, eV per atom: -0.422
Symmetry: Pm-3m (221)



> What is the formula in the fifth record?

Mg2InSb